DFT (PBE) results for a relaxed structure of Dy12Ga6Ru.

Properties
magnetic moment	0.00	μB/f.u.
symmetry	R-3, No. 148

Cell: 8.371 8.371 8.371 Å, 99.26 99.26 99.26°
Fractional positions:
Dy: 0.038 0.931 0.683
Dy: 0.069 0.317 0.962
Dy: 0.182 0.568 0.430
Dy: 0.317 0.962 0.069
Dy: 0.430 0.182 0.568
Dy: 0.432 0.570 0.818
Dy: 0.568 0.430 0.182
Dy: 0.570 0.818 0.432
Dy: 0.683 0.038 0.931
Dy: 0.818 0.432 0.570
Dy: 0.931 0.683 0.038
Dy: 0.962 0.069 0.317
Ga: 0.136 0.302 0.623
Ga: 0.302 0.623 0.136
Ga: 0.377 0.864 0.698
Ga: 0.623 0.136 0.302
Ga: 0.698 0.377 0.864
Ga: 0.864 0.698 0.377
Ru: 0.000 0.000 0.000

---

DFT (PBE) results for a relaxed structure of DyGa2Ru2.

Properties
magnetic moment	0.00	μB/f.u.
symmetry	C2/m, No. 12

Cell: 4.125 4.125 5.905 Å, 108.07 108.07 90.73°
Fractional positions:
Dy: 0.000 0.000 0.000
Ga: 0.408 0.408 0.765
Ga: 0.592 0.592 0.235
Ru: 0.216 0.784 0.500
Ru: 0.784 0.216 0.500

---

DFT (PBE) results for a relaxed structure of DyGa6Ru5.

Properties
magnetic moment	0.00	μB/f.u.
symmetry	P2/m, No. 10

Cell: 4.391 6.186 7.023 Å, 90.00 107.94 90.00°
Fractional positions:
Dy: 0.000 0.000 0.000
Ga: 0.182 0.264 0.360
Ga: 0.182 0.736 0.360
Ga: 0.500 0.283 0.000
Ga: 0.500 0.717 0.000
Ga: 0.818 0.264 0.640
Ga: 0.818 0.736 0.640
Ru: 0.000 0.500 0.000
Ru: 0.310 0.000 0.689
Ru: 0.345 0.500 0.673
Ru: 0.655 0.500 0.327
Ru: 0.690 0.000 0.311

---

DFT (PBE) results for a relaxed structure of DyGa5Ru2.

Properties
magnetic moment	0.00	μB/f.u.
symmetry	Immm, No. 71

Cell: 6.717 6.717 6.717 Å, 151.29 104.51 82.66°
Fractional positions:
Dy: 0.000 0.000 0.000
Ga: 0.139 0.355 0.785
Ga: 0.430 0.645 0.785
Ga: 0.500 0.000 0.500
Ga: 0.570 0.355 0.215
Ga: 0.861 0.645 0.215
Ru: 0.256 0.756 0.500
Ru: 0.744 0.244 0.500

---

DFT (PBE) results for a relaxed structure of Dy5GaRu2.

Properties
magnetic moment	0.00	μB/f.u.
symmetry	I4/mcm, No. 140

Cell: 8.558 8.558 8.558 Å, 126.79 126.79 78.59°
Fractional positions:
Dy: 0.000 0.000 0.000
Dy: 0.024 0.524 0.823
Dy: 0.202 0.024 0.500
Dy: 0.298 0.798 0.823
Dy: 0.476 0.298 0.500
Dy: 0.500 0.500 0.000
Dy: 0.524 0.702 0.500
Dy: 0.702 0.202 0.177
Dy: 0.798 0.976 0.500
Dy: 0.976 0.476 0.177
Ga: 0.250 0.250 0.000
Ga: 0.750 0.750 0.000
Ru: 0.140 0.360 0.500
Ru: 0.360 0.860 0.220
Ru: 0.640 0.140 0.780
Ru: 0.860 0.640 0.500

---

DFT (PBE) results for a relaxed structure of DyGa3Ru.

Properties
magnetic moment	0.00	μB/f.u.
symmetry	R-3, No. 148
excess energy over the best structure of this formula in the dataset	351	meV/atom

Cell: 6.060 6.060 6.060 Å, 72.86 72.86 72.86°
Fractional positions:
Dy: 0.161 0.161 0.161
Dy: 0.839 0.839 0.839
Ga: 0.013 0.699 0.365
Ga: 0.301 0.635 0.987
Ga: 0.365 0.013 0.699
Ga: 0.635 0.987 0.301
Ga: 0.699 0.365 0.013
Ga: 0.987 0.301 0.635
Ru: 0.411 0.411 0.411
Ru: 0.589 0.589 0.589

---

DFT (PBE) results for a relaxed structure of DyGa3Ru3.

Properties
magnetic moment	0.00	μB/f.u.
symmetry	Pm-3n, No. 223

Cell: 6.678 6.678 6.678 Å, 90.00 90.00 90.00°
Fractional positions:
Dy: 0.000 0.000 0.000
Dy: 0.500 0.500 0.500
Ga: 0.000 0.250 0.500
Ga: 0.000 0.750 0.500
Ga: 0.250 0.500 0.000
Ga: 0.500 0.000 0.250
Ga: 0.500 0.000 0.750
Ga: 0.750 0.500 0.000
Ru: 0.000 0.500 0.250
Ru: 0.000 0.500 0.750
Ru: 0.250 0.000 0.500
Ru: 0.500 0.250 0.000
Ru: 0.500 0.750 0.000
Ru: 0.750 0.000 0.500

---

DFT (PBE) results for a relaxed structure of DyGa8Ru2.

Properties
magnetic moment	0.00	μB/f.u.
symmetry	C2/m, No. 12

Cell: 6.705 6.705 4.789 Å, 98.63 98.63 99.21°
Fractional positions:
Dy: 0.000 0.000 0.000
Ga: 0.097 0.353 0.605
Ga: 0.296 0.704 0.000
Ga: 0.353 0.097 0.605
Ga: 0.373 0.373 0.244
Ga: 0.627 0.627 0.756
Ga: 0.647 0.903 0.395
Ga: 0.704 0.296 0.000
Ga: 0.903 0.647 0.395
Ru: 0.283 0.717 0.500
Ru: 0.717 0.283 0.500

---

DFT (PBE) results for a relaxed structure of Dy4Ga12Ru.

Properties
magnetic moment	0.00	μB/f.u.
symmetry	Im-3m, No. 229

Cell: 7.462 7.462 7.462 Å, 109.47 109.47 109.47°
Fractional positions:
Dy: 0.000 0.000 0.500
Dy: 0.000 0.500 0.000
Dy: 0.500 0.000 0.000
Dy: 0.500 0.500 0.500
Ga: 0.000 0.290 0.290
Ga: 0.000 0.710 0.710
Ga: 0.250 0.500 0.750
Ga: 0.250 0.750 0.500
Ga: 0.290 0.000 0.290
Ga: 0.290 0.290 0.000
Ga: 0.500 0.250 0.750
Ga: 0.500 0.750 0.250
Ga: 0.710 0.000 0.710
Ga: 0.710 0.710 0.000
Ga: 0.750 0.250 0.500
Ga: 0.750 0.500 0.250
Ru: 0.000 0.000 0.000

---

DFT (PBE) results for a relaxed structure of Dy4GaRu2.

Properties
magnetic moment	0.00	μB/f.u.
symmetry	R-3m, No. 166
excess energy over the best structure of this formula in the dataset	0	meV/atom

Cell: 8.326 8.326 8.326 Å, 34.03 34.03 34.03°
Fractional positions:
Dy: 0.119 0.119 0.119
Dy: 0.371 0.371 0.371
Dy: 0.629 0.629 0.629
Dy: 0.881 0.881 0.881
Ga: 0.500 0.500 0.500
Ru: 0.246 0.246 0.246
Ru: 0.754 0.754 0.754

---

DFT (PBE) results for a relaxed structure of Dy3Ga3Ru2.

Properties
magnetic moment	0.00	μB/f.u.
symmetry	Pnma, No. 62

Cell: 7.557 15.274 5.743 Å, 90.00 90.00 90.00°
Fractional positions:
Dy: 0.037 0.108 0.109
Dy: 0.037 0.392 0.109
Dy: 0.169 0.250 0.630
Dy: 0.331 0.750 0.130
Dy: 0.463 0.608 0.609
Dy: 0.463 0.892 0.609
Dy: 0.537 0.108 0.391
Dy: 0.537 0.392 0.391
Dy: 0.669 0.250 0.870
Dy: 0.831 0.750 0.370
Dy: 0.963 0.608 0.891
Dy: 0.963 0.892 0.891
Ga: 0.166 0.035 0.590
Ga: 0.166 0.465 0.590
Ga: 0.174 0.750 0.624
Ga: 0.326 0.250 0.124
Ga: 0.334 0.535 0.090
Ga: 0.334 0.965 0.090
Ga: 0.666 0.035 0.910
Ga: 0.666 0.465 0.910
Ga: 0.674 0.750 0.876
Ga: 0.826 0.250 0.376
Ga: 0.834 0.535 0.410
Ga: 0.834 0.965 0.410
Ru: 0.131 0.609 0.368
Ru: 0.131 0.891 0.368
Ru: 0.369 0.109 0.868
Ru: 0.369 0.391 0.868
Ru: 0.631 0.609 0.132
Ru: 0.631 0.891 0.132
Ru: 0.869 0.109 0.632
Ru: 0.869 0.391 0.632

---

DFT (PBE) results for a relaxed structure of Dy3Ga3Ru.

Properties
magnetic moment	0.00	μB/f.u.
symmetry	C2/m, No. 12

Cell: 5.852 5.852 14.315 Å, 108.34 108.34 41.94°
Fractional positions:
Dy: 0.031 0.031 0.382
Dy: 0.109 0.109 0.924
Dy: 0.242 0.242 0.237
Dy: 0.758 0.758 0.763
Dy: 0.891 0.891 0.076
Dy: 0.969 0.969 0.618
Ga: 0.364 0.364 0.459
Ga: 0.391 0.391 0.924
Ga: 0.466 0.466 0.768
Ga: 0.534 0.534 0.232
Ga: 0.609 0.609 0.076
Ga: 0.636 0.636 0.541
Ru: 0.263 0.263 0.599
Ru: 0.737 0.737 0.401

---

The records above yield electronic total energy values of -4.58; -6.24; -6.09; -5.17; -5.99; -4.83; -5.59; -4.60; -4.34; -6.09; -5.75; -5.19 eV/atom, respectively.